Density functional theory data (PBE-GGA) for a relaxed NpGeSe3 crystal.

```
20
Lattice="-2.3956 -0.2627 -3.0837 2.6050 -7.5807 -1.3778 -10.8779 -5.3569 8.9070" Properties=species:S:1:pos:R:3 pbc="T T T"
Se -1.8776 -7.7533 -1.6061
Se -4.8648 -7.4377 0.6876
Ge -0.6003 -5.6649 -2.7763
Se -4.0391 -4.3860 -0.2138
Se -8.7909 -5.4470 6.0517
Se -10.0791 -8.7262 4.8482
Se -8.5177 -3.5255 3.1921
Se -0.5894 -4.4740 -0.4027
Se -2.1021 -1.6455 -1.9521
Ge -4.4943 -9.2222 3.0355
Ge -10.0682 -7.5353 7.2219
Np -2.4049 -2.2011 0.8140
Se -2.1509 -9.6747 1.2535
Se -5.8038 -5.7626 3.7579
Np -2.1970 -6.5305 1.0214
Se -8.5664 -11.5548 6.3976
Np -8.4715 -6.6698 3.4242
Np -8.2637 -10.9992 3.6316
Se -6.6294 -8.8143 4.6594
Ge -6.1742 -3.9781 1.4101
```

## Properties
V ... 478.91 Å³ per cell
Space-group type ... Pnma
Formation energy without anion corrections ... -321 kJ/mol of formula units